(1)
SrTi | the Alexandria database | PBE | relaxed; DOS(E_F) = 2.32 states/eV/cell; space group = P4/mmm (123); formation energy = 0.851 eV per atom; M_tot = 1.13 μB per atom; energy above the most stable polymorph in this dataset = 440 meV/atom
1.0
3.350 0.000 0.000
0.000 3.350 0.000
0.000 0.000 5.475
Ti Sr
1 1
direct
0.000 0.000 0.000 Ti
0.500 0.500 0.500 Sr



(2)
SrTi | the Alexandria database | PBE | relaxed; DOS(E_F) = 21.98 states/eV/cell; space group = I-43m (217); formation energy = 1.065 eV per atom; M_tot = 0.49 μB per atom; energy above the most stable polymorph in this dataset = 653 meV/atom
1.0
9.835 0.000 0.000
0.000 9.835 0.000
0.000 0.000 9.835
Sr Ti
8 8
direct
0.289 0.711 0.711 Sr
0.789 0.789 0.789 Sr
0.711 0.711 0.289 Sr
0.289 0.289 0.289 Sr
0.211 0.211 0.789 Sr
0.711 0.289 0.711 Sr
0.211 0.789 0.211 Sr
0.789 0.211 0.211 Sr
0.410 0.410 0.590 Ti
0.410 0.590 0.410 Ti
0.090 0.910 0.910 Ti
0.910 0.090 0.910 Ti
0.590 0.410 0.410 Ti
0.090 0.090 0.090 Ti
0.910 0.910 0.090 Ti
0.590 0.590 0.590 Ti



(3)
SrTi | the Alexandria database | PBE | relaxed; DOS(E_F) = 21.77 states/eV/cell; space group = Pnma (62); formation energy = 0.582 eV per atom; M_tot = 0.15 μB per atom; energy above the most stable polymorph in this dataset = 171 meV/atom
1.0
6.214 0.000 0.000
0.000 10.421 0.000
0.000 0.000 8.020
Ti Sr
8 8
direct
0.745 0.250 0.983 Ti
0.013 0.750 0.238 Ti
0.245 0.250 0.517 Ti
0.513 0.750 0.262 Ti
0.487 0.250 0.738 Ti
0.755 0.750 0.483 Ti
0.255 0.750 0.017 Ti
0.987 0.250 0.762 Ti
0.751 0.574 0.896 Sr
0.749 0.074 0.396 Sr
0.749 0.426 0.396 Sr
0.249 0.074 0.104 Sr
0.249 0.426 0.104 Sr
0.751 0.926 0.896 Sr
0.251 0.926 0.604 Sr
0.251 0.574 0.604 Sr